A plane-wave DFT calculation with PBE was carried out for crystalline Ac2MgInRh at its relaxed geometry.

Cell and atoms, written as POSCAR:
```
Ac2MgInRh
1.0
4.437 0.000 0.000
0.000 8.401 0.295
0.000 -3.198 7.921
Ac Rh Mg In
4 2 2 2
Direct
0.750 0.719 0.025
0.250 0.281 0.975
0.750 0.901 0.664
0.250 0.099 0.336
0.250 0.886 0.900
0.750 0.114 0.100
0.250 0.567 0.655
0.750 0.433 0.345
0.250 0.672 0.333
0.750 0.328 0.667
```

E_tot: -4.474 eV per atom
crystal system: monoclinic
total moment: 0.00 μB per formula unit


A plane-wave DFT calculation with PBE was carried out for crystalline ScAg2HAu at its relaxed geometry.

Cell and atoms, written as POSCAR:
```
ScAg2HAu
1.0
-2.529 3.133 -1.376
-3.182 -1.523 2.380
1.272 2.467 3.280
Au H Ag Sc
1 1 2 1
Direct
0.500 0.500 0.500
0.000 0.000 0.000
0.000 0.500 0.000
0.500 0.000 0.000
0.000 0.000 0.500
```

E_tot: -3.908 eV per atom
crystal system: tetragonal
total moment: 0.00 μB per formula unit